# 1
# ScGa3Rh | Alexandria | PBE | relaxed
data_ScGa3Rh
_symmetry_space_group_name_H-M 'P m -3 m'
_symmetry_Int_Tables_number 221
_symmetry_space_group_name_Hall '-P 4 2 3'
_cell_length_a 4.993
_cell_length_b 4.993
_cell_length_c 4.993
_cell_angle_alpha 90.00
_cell_angle_beta 90.00
_cell_angle_gamma 90.00
loop_
_atom_site_label
_atom_site_type_symbol
_atom_site_fract_x
_atom_site_fract_y
_atom_site_fract_z
Sc1 Sc 0.000 0.000 0.000
Ga1 Ga 0.000 0.000 0.500
Rh1 Rh 0.500 0.500 0.500
# Formation energy = 5.135 eV/f.u.

***

# 2
# K3Ga5Br12 | Alexandria | PBE | relaxed
data_K3Ga5Br12
_symmetry_space_group_name_H-M 'I a -3 d'
_symmetry_Int_Tables_number 230
_symmetry_space_group_name_Hall '-I 4bd 2c 3'
_cell_length_a 18.030
_cell_length_b 18.030
_cell_length_c 18.030
_cell_angle_alpha 90.00
_cell_angle_beta 90.00
_cell_angle_gamma 90.00
loop_
_atom_site_label
_atom_site_type_symbol
_atom_site_fract_x
_atom_site_fract_y
_atom_site_fract_z
K1 K 0.000 0.250 0.125
Ga1 Ga 0.000 0.000 0.000
Ga2 Ga 0.000 0.250 0.375
Br1 Br 0.037 0.052 0.655
# Raw formation energy = -961.8 meV per atom

***

# 3
# KIrIO2 | Alexandria | PBE | relaxed
data_KIrIO2
_symmetry_space_group_name_H-M 'P 4/m m m'
_symmetry_Int_Tables_number 123
_symmetry_space_group_name_Hall '-P 4 2'
_cell_length_a 4.099
_cell_length_b 4.099
_cell_length_c 5.854
_cell_angle_alpha 90.00
_cell_angle_beta 90.00
_cell_angle_gamma 90.00
loop_
_atom_site_label
_atom_site_type_symbol
_atom_site_fract_x
_atom_site_fract_y
_atom_site_fract_z
K1 K 0.000 0.000 0.000
Ir1 Ir 0.500 0.500 0.500
I1 I 0.500 0.500 0.000
O1 O 0.000 0.500 0.500
# Raw formation energy = -329.4 meV per atom

***

# 4
# CaRh2 | Alexandria | PBE | relaxed
data_CaRh2
_symmetry_space_group_name_H-M 'C 1 2/m 1'
_symmetry_Int_Tables_number 12
_symmetry_space_group_name_Hall '-C 2y'
_cell_length_a 8.901
_cell_length_b 4.257
_cell_length_c 5.932
_cell_angle_alpha 90.00
_cell_angle_beta 105.67
_cell_angle_gamma 90.00
loop_
_atom_site_label
_atom_site_type_symbol
_atom_site_fract_x
_atom_site_fract_y
_atom_site_fract_z
Ca1 Ca 0.174 0.000 0.117
Rh1 Rh 0.023 0.500 0.299
Rh2 Rh 0.151 0.000 0.582
# Formation energy = -0.198 eV/f.u.

***

# 5
# Sc2BiPd | Alexandria | PBE | relaxed
data_Sc2BiPd
_symmetry_space_group_name_H-M 'P 4/m m m'
_symmetry_Int_Tables_number 123
_symmetry_space_group_name_Hall '-P 4 2'
_cell_length_a 3.513
_cell_length_b 3.513
_cell_length_c 7.083
_cell_angle_alpha 90.00
_cell_angle_beta 90.00
_cell_angle_gamma 90.00
loop_
_atom_site_label
_atom_site_type_symbol
_atom_site_fract_x
_atom_site_fract_y
_atom_site_fract_z
Sc1 Sc 0.000 0.000 0.217
Bi1 Bi 0.500 0.500 0.500
Pd1 Pd 0.500 0.500 0.000
# Formation energy = -2.434 eV/f.u.

***

# 6
# AgHgTe2 | Alexandria | PBE | relaxed
data_AgHgTe2
_symmetry_space_group_name_H-M 'I m m 2'
_symmetry_Int_Tables_number 44
_symmetry_space_group_name_Hall 'I 2 -2'
_cell_length_a 4.991
_cell_length_b 6.492
_cell_length_c 8.083
_cell_angle_alpha 90.00
_cell_angle_beta 90.00
_cell_angle_gamma 90.00
loop_
_atom_site_label
_atom_site_type_symbol
_atom_site_fract_x
_atom_site_fract_y
_atom_site_fract_z
Ag1 Ag 0.000 0.000 0.000
Hg1 Hg 0.000 0.500 0.293
Te1 Te 0.000 0.000 0.623
Te2 Te 0.000 0.500 0.664
# Raw formation energy = 78.9 meV per atom

***

Number 1: magnetic moment 0.00 μB/cell, ρ 4.76 g cm⁻³, DOS(E_F) 1.462 states/eV per atom. Number 2: magnetic moment 0.00 μB/cell, ρ 3.23 g cm⁻³, DOS(E_F) 0.198 states/eV per atom. Number 3: magnetic moment 0.00 μB/cell, ρ 6.59 g cm⁻³, DOS(E_F) 0.554 states/eV per atom. Number 4: magnetic moment 0.00 μB/cell, ρ 7.55 g cm⁻³, DOS(E_F) 1.351 states/eV per atom. Number 5: magnetic moment 0.00 μB/cell, ρ 7.70 g cm⁻³, DOS(E_F) 0.898 states/eV per atom. Number 6: magnetic moment 0.00 μB/cell, ρ 7.15 g cm⁻³, DOS(E_F) 0.240 states/eV per atom.